1.
DFT (GGA-PBE) results for a relaxed Hf3Nb2In2 crystal.

Lattice parameters (Å, degrees): 4.4810 3.0424 11.0211 90.00 78.27 90.00
Sites, in units of the cell vectors:
Hf 0.8510 0.0000 0.2979
Hf 0.0000 0.0000 0.0000
Hf 0.1490 0.0000 0.7021
Nb 0.7191 0.5000 0.5618
Nb 0.2809 0.5000 0.4382
In 0.5753 0.5000 0.8494
In 0.4247 0.5000 0.1506

Summary:
SG	Cmmm (65)
total magnetic moment	0.00	μB per cell


2.
DFT (GGA-PBE) results for a relaxed Hf4Nb2In5 crystal.

Lattice parameters (Å, degrees): 3.0784 7.8728 9.9724 96.75 90.00 90.00
Sites, in units of the cell vectors:
Hf 0.5000 0.7097 0.5610
Hf 0.5000 0.1648 0.8754
Hf 0.5000 0.2903 0.4390
Hf 0.5000 0.8352 0.1246
Nb 0.0000 0.0537 0.6239
Nb 0.0000 0.9463 0.3761
In 0.0000 0.5701 0.3008
In 0.0000 0.1841 0.1564
In 0.0000 0.5000 0.0000
In 0.0000 0.8159 0.8436
In 0.0000 0.4299 0.6992

Summary:
SG	P2/m (10)
total magnetic moment	0.00	μB per cell


3.
DFT (GGA-PBE) results for a relaxed Hf5NbIn4 crystal.

Lattice parameters (Å, degrees): 3.2300 9.1498 7.9981 82.33 101.65 90.00
Sites, in units of the cell vectors:
Hf 0.1897 0.4141 0.3793
Hf 0.1556 0.7730 0.3113
Hf 0.8444 0.2270 0.6887
Hf 0.5000 0.5000 0.0000
Hf 0.8103 0.5859 0.6207
Nb 0.5000 0.0000 0.0000
In 0.6784 0.0877 0.3568
In 0.0309 0.2412 0.0618
In 0.3216 0.9123 0.6432
In 0.9691 0.7588 0.9382

Summary:
SG	C2/m (12)
total magnetic moment	0.00	μB per cell


Calculated raw total energy in order - -7.935, -6.740, -6.896 eV/atom